(1)
DFT (PBE) results for a relaxed SiPt3Au crystal.

a = 4.9385 Å, b = 4.9385 Å, c = 4.9385 Å
α = 90.00°, β = 90.00°, γ = 90.00°
Fractional coordinates of all 5 atoms:
Si: 0.0000 0.0000 0.0000
Pt: 0.0000 0.5000 0.5000
Pt: 0.5000 0.0000 0.5000
Pt: 0.5000 0.5000 0.0000
Au: 0.5000 0.5000 0.5000

The density of states at the Fermi level comes out at 1.479 states/eV per atom. For the formation energy from raw total energies, the calculation gives 7.8 eV/f.u. As for the space group: No. 221. Its electronic total energy is -3.8119 eV/atom.


(2)
DFT (PBE) results for a relaxed SiPtAu2 crystal.

a = 3.2673 Å, b = 3.7930 Å, c = 11.1694 Å
α = 90.00°, β = 90.00°, γ = 90.00°
Fractional coordinates of all 8 atoms:
Si: 0.0000 0.0000 0.0000
Si: 0.5000 0.5000 0.5000
Pt: 0.0000 0.0000 0.5000
Pt: 0.5000 0.5000 0.0000
Au: 0.0000 0.5000 0.3117
Au: 0.0000 0.5000 0.6883
Au: 0.5000 0.0000 0.1883
Au: 0.5000 0.0000 0.8117

The density of states at the Fermi level comes out at 0.286 states/eV per atom. For the formation energy from raw total energies, the calculation gives -0.5 eV/f.u. As for the space group: No. 71. Its electronic total energy is -4.6201 eV/atom.


(3)
DFT (PBE) results for a relaxed SiPt2Au2 crystal.

a = 3.6711 Å, b = 3.6711 Å, c = 13.8738 Å
α = 90.00°, β = 90.00°, γ = 90.00°
Fractional coordinates of all 10 atoms:
Si: 0.0000 0.0000 0.0000
Si: 0.5000 0.5000 0.5000
Pt: 0.0000 0.0000 0.4081
Pt: 0.0000 0.0000 0.5919
Pt: 0.5000 0.5000 0.0919
Pt: 0.5000 0.5000 0.9081
Au: 0.0000 0.5000 0.2500
Au: 0.0000 0.5000 0.7500
Au: 0.5000 0.0000 0.2500
Au: 0.5000 0.0000 0.7500

The density of states at the Fermi level comes out at 0.614 states/eV per atom. For the formation energy from raw total energies, the calculation gives 1.7 eV/f.u. As for the space group: No. 139. Its electronic total energy is -4.4744 eV/atom.


(4)
DFT (PBE) results for a relaxed SiPtAu2 crystal.

a = 3.0372 Å, b = 3.0372 Å, c = 25.0533 Å
α = 90.00°, β = 90.00°, γ = 120.00°
Fractional coordinates of all 12 atoms:
Si: 0.0000 0.0000 0.0000
Si: 0.3333 0.6667 0.6667
Si: 0.6667 0.3333 0.3333
Pt: 0.0000 0.0000 0.5000
Pt: 0.3333 0.6667 0.1667
Pt: 0.6667 0.3333 0.8333
Au: 0.0000 0.0000 0.2572
Au: 0.0000 0.0000 0.7428
Au: 0.3333 0.6667 0.4094
Au: 0.3333 0.6667 0.9239
Au: 0.6667 0.3333 0.0761
Au: 0.6667 0.3333 0.5906

The density of states at the Fermi level comes out at 0.593 states/eV per atom. For the formation energy from raw total energies, the calculation gives 0.3 eV/f.u. As for the space group: No. 166. Its electronic total energy is -4.4243 eV/atom.


(5)
DFT (PBE) results for a relaxed SiPtAu2 crystal.

a = 3.2460 Å, b = 4.2314 Å, c = 5.1047 Å
α = 90.00°, β = 104.37°, γ = 90.00°
Fractional coordinates of all 4 atoms:
Si: 0.0000 0.0000 0.0000
Pt: 0.0000 0.0000 0.5000
Au: 0.3549 0.5000 0.2304
Au: 0.6451 0.5000 0.7696

The density of states at the Fermi level comes out at 0.334 states/eV per atom. For the formation energy from raw total energies, the calculation gives 0.1 eV/f.u. As for the space group: No. 10. Its electronic total energy is -4.4888 eV/atom.


(6)
DFT (PBE) results for a relaxed Si2PtAu crystal.

a = 3.5619 Å, b = 3.6272 Å, c = 5.0363 Å
α = 90.00°, β = 90.00°, γ = 90.00°
Fractional coordinates of all 4 atoms:
Si: 0.0000 0.0000 0.0000
Si: 0.5000 0.5000 0.3575
Pt: 0.5000 0.5000 0.8812
Au: 0.0000 0.0000 0.4948

The density of states at the Fermi level comes out at 0.517 states/eV per atom. For the formation energy from raw total energies, the calculation gives -0.5 eV/f.u. As for the space group: No. 25. Its electronic total energy is -5.1768 eV/atom.


(7)
DFT (PBE) results for a relaxed Si2PtAu crystal.

a = 6.3839 Å, b = 6.3839 Å, c = 6.3839 Å
α = 90.00°, β = 90.00°, γ = 90.00°
Fractional coordinates of all 16 atoms:
Si: 0.0000 0.0000 0.0000
Si: 0.0000 0.5000 0.5000
Si: 0.2500 0.2500 0.2500
Si: 0.2500 0.7500 0.7500
Si: 0.5000 0.0000 0.5000
Si: 0.5000 0.5000 0.0000
Si: 0.7500 0.2500 0.7500
Si: 0.7500 0.7500 0.2500
Pt: 0.0000 0.0000 0.5000
Pt: 0.0000 0.5000 0.0000
Pt: 0.5000 0.0000 0.0000
Pt: 0.5000 0.5000 0.5000
Au: 0.2500 0.2500 0.7500
Au: 0.2500 0.7500 0.2500
Au: 0.7500 0.2500 0.2500
Au: 0.7500 0.7500 0.7500

The density of states at the Fermi level comes out at 0.488 states/eV per atom. For the formation energy from raw total energies, the calculation gives 1.2 eV/f.u. As for the space group: No. 216. Its electronic total energy is -4.7518 eV/atom.


(8)
DFT (PBE) results for a relaxed SiPt2Au2 crystal.

a = 6.2521 Å, b = 6.2521 Å, c = 4.4497 Å
α = 90.00°, β = 90.00°, γ = 90.00°
Fractional coordinates of all 10 atoms:
Si: 0.0000 0.0000 0.0000
Si: 0.5000 0.5000 0.0000
Pt: 0.1528 0.3472 0.0000
Pt: 0.3472 0.8472 0.0000
Pt: 0.6528 0.1528 0.0000
Pt: 0.8472 0.6528 0.0000
Au: 0.1600 0.6600 0.5000
Au: 0.3400 0.1600 0.5000
Au: 0.6600 0.8400 0.5000
Au: 0.8400 0.3400 0.5000

The density of states at the Fermi level comes out at 0.769 states/eV per atom. For the formation energy from raw total energies, the calculation gives -0.8 eV/f.u. As for the space group: No. 127. Its electronic total energy is -4.9667 eV/atom.


(9)
DFT (PBE) results for a relaxed SiPtAu2 crystal.

a = 2.8390 Å, b = 4.9491 Å, c = 9.6299 Å
α = 90.00°, β = 90.00°, γ = 90.00°
Fractional coordinates of all 8 atoms:
Si: 0.0000 0.0000 0.0000
Si: 0.5000 0.5000 0.0000
Pt: 0.0000 0.0000 0.5000
Pt: 0.5000 0.5000 0.5000
Au: 0.0000 0.5000 0.2442
Au: 0.0000 0.5000 0.7558
Au: 0.5000 0.0000 0.2442
Au: 0.5000 0.0000 0.7558

The density of states at the Fermi level comes out at 0.591 states/eV per atom. For the formation energy from raw total energies, the calculation gives 0.7 eV/f.u. As for the space group: No. 65. Its electronic total energy is -4.3238 eV/atom.


(10)
DFT (PBE) results for a relaxed Si2Pt2Au crystal.

a = 3.7590 Å, b = 3.7590 Å, c = 11.5904 Å
α = 90.00°, β = 90.00°, γ = 90.00°
Fractional coordinates of all 10 atoms:
Si: 0.0000 0.5000 0.2500
Si: 0.0000 0.5000 0.7500
Si: 0.5000 0.0000 0.2500
Si: 0.5000 0.0000 0.7500
Pt: 0.0000 0.0000 0.1212
Pt: 0.0000 0.0000 0.8788
Pt: 0.5000 0.5000 0.3788
Pt: 0.5000 0.5000 0.6212
Au: 0.0000 0.0000 0.5000
Au: 0.5000 0.5000 0.0000

The density of states at the Fermi level comes out at 0.266 states/eV per atom. For the formation energy from raw total energies, the calculation gives -2.0 eV/f.u. As for the space group: No. 139. Its electronic total energy is -5.6424 eV/atom.


(11)
DFT (PBE) results for a relaxed SiPt3Au crystal.

a = 4.5129 Å, b = 4.5129 Å, c = 4.5129 Å
α = 90.00°, β = 90.00°, γ = 90.00°
Fractional coordinates of all 5 atoms:
Si: 0.0000 0.0000 0.0000
Pt: 0.0000 0.0000 0.5000
Pt: 0.0000 0.5000 0.0000
Pt: 0.5000 0.0000 0.0000
Au: 0.5000 0.5000 0.5000

The density of states at the Fermi level comes out at 0.649 states/eV per atom. For the formation energy from raw total energies, the calculation gives 1.1 eV/f.u. As for the space group: No. 221. Its electronic total energy is -5.1453 eV/atom.


(12)
DFT (PBE) results for a relaxed Sm2Si3Pt4Au crystal.

a = 4.2654 Å, b = 4.2654 Å, c = 10.2607 Å
α = 90.00°, β = 90.00°, γ = 90.00°
Fractional coordinates of all 10 atoms:
Sm: 0.0000 0.5000 0.2460
Sm: 0.5000 0.0000 0.7540
Si: 0.0000 0.0000 0.0000
Si: 0.0000 0.5000 0.6220
Si: 0.5000 0.0000 0.3780
Pt: 0.0000 0.0000 0.5000
Pt: 0.0000 0.5000 0.8474
Pt: 0.5000 0.0000 0.1526
Pt: 0.5000 0.5000 0.5000
Au: 0.5000 0.5000 0.0000

The density of states at the Fermi level comes out at 0.530 states/eV per atom. For the formation energy from raw total energies, the calculation gives -9.5 eV/f.u. As for the space group: No. 115. Its electronic total energy is -6.2612 eV/atom.


| no. | magnetization (Bohr magnetons per cell) |
| --- | --- |
| 1 | 0.0 |
| 2 | 0.0 |
| 3 | 0.0 |
| 4 | 0.0 |
| 5 | 0.0 |
| 6 | 0.0 |
| 7 | 0.0 |
| 8 | 0.0 |
| 9 | 0.0 |
| 10 | 0.0 |
| 11 | 0.0 |
| 12 | 0.0 |